[1]
This record from Alexandria describes a relaxed structure of NaSbTe2I. The functional is PBE.

As for the raw total energy: -2.766 eV per atom. The calculation puts the mass density at 4.23 g cm⁻³. For the energy above the most stable polymorph in this dataset, the calculation gives 0 meV/atom. As for the symmetry: No. 123. The value obtained for the energy relative to the elements, uncorrected is -111 meV per atom.

Cell lengths 5.788, 5.788, 6.180 Å; angles 90.00, 90.00, 90.00 degrees
Fractional coordinates of all 5 atoms:
1 Na 0.000 0.000 0.000
2 Sb 0.500 0.500 0.500
3 Te 0.000 0.500 0.500
4 Te 0.500 0.000 0.500
5 I 0.500 0.500 0.000

***

[2]
This record from Alexandria describes a relaxed structure of TmSbAu2. The functional is PBE.

As for the raw total energy: -4.357 eV per atom. The calculation puts the mass density at 13.18 g cm⁻³. As for the symmetry: No. 123. The value obtained for the energy relative to the elements, uncorrected is -569 meV per atom.

Cell lengths 4.367, 4.367, 4.522 Å; angles 90.00, 90.00, 90.00 degrees
Fractional coordinates of all 4 atoms:
1 Tm 0.000 0.000 0.000
2 Sb 0.500 0.500 0.000
3 Au 0.000 0.500 0.500
4 Au 0.500 0.000 0.500

***

[3]
This record from Alexandria describes a relaxed structure of Ru5Pb. The functional is PBE.

As for the raw total energy: -8.025 eV per atom. The calculation puts the mass density at 12.71 g cm⁻³. For the energy above the most stable polymorph in this dataset, the calculation gives 0 meV/atom. As for the symmetry: No. 65. The formation energy comes out at 0.32 eV per atom.

Cell lengths 6.369, 6.369, 3.920 Å; angles 90.00, 90.00, 144.15 degrees
Fractional coordinates of all 6 atoms:
1 Ru 0.000 0.000 0.000
2 Ru 0.181 0.819 0.500
3 Ru 0.320 0.680 0.000
4 Ru 0.680 0.320 0.000
5 Ru 0.819 0.181 0.500
6 Pb 0.500 0.500 0.500

***

[4]
This record from Alexandria describes a relaxed structure of Mg3Sc. The functional is PBE.

As for the raw total energy: -2.766 eV per atom. The calculation puts the mass density at 2.09 g cm⁻³. As for the symmetry: No. 44. The formation energy comes out at 0.01 eV per atom.

Cell lengths 6.160, 6.160, 6.160 Å; angles 150.09, 63.24, 125.69 degrees
Fractional coordinates of all 4 atoms:
1 Mg 0.000 0.000 0.000
2 Mg 0.073 0.325 0.748
3 Mg 0.577 0.325 0.252
4 Sc 0.494 0.994 0.500

***

[5]
This record from Alexandria describes a relaxed structure of PmScGaRu. The functional is PBE.

As for the raw total energy: -6.248 eV per atom. The calculation puts the mass density at 7.34 g cm⁻³. As for the symmetry: No. 216. The formation energy comes out at -0.40 eV per atom.

Cell lengths 4.868, 4.868, 4.868 Å; angles 60.00, 60.00, 60.00 degrees
Fractional coordinates of all 4 atoms:
1 Pm 0.000 0.000 0.000
2 Sc 0.500 0.500 0.500
3 Ga 0.250 0.250 0.250
4 Ru 0.750 0.750 0.750

***

[6]
This record from Alexandria describes a relaxed structure of FeGeCl2. The functional is PBE.

As for the raw total energy: -3.896 eV per atom. The calculation puts the mass density at 4.50 g cm⁻³. For the energy above the most stable polymorph in this dataset, the calculation gives 130 meV/atom. As for the symmetry: No. 225. The value obtained for the energy relative to the elements, uncorrected is 298 meV per atom.

Cell lengths 4.704, 4.704, 4.704 Å; angles 60.00, 60.00, 60.00 degrees
Fractional coordinates of all 4 atoms:
1 Fe 0.000 0.000 0.000
2 Ge 0.500 0.500 0.500
3 Cl 0.250 0.250 0.250
4 Cl 0.750 0.750 0.750